# 1
# CsTi2Bi2, optimized geometry, DFT PBE-GGA
data_CsTi2Bi2
_symmetry_space_group_name_H-M 'P 4/m b m'
_symmetry_Int_Tables_number 127
_symmetry_space_group_name_Hall '-P 4 2ab'
_cell_length_a 9.644
_cell_length_b 9.644
_cell_length_c 3.557
_cell_angle_alpha 90.00
_cell_angle_beta 90.00
_cell_angle_gamma 90.00
loop_
_atom_site_label
_atom_site_type_symbol
_atom_site_fract_x
_atom_site_fract_y
_atom_site_fract_z
Cs1 Cs 0.000 0.000 0.000
Ti1 Ti 0.093 0.407 0.500
Bi1 Bi 0.150 0.650 0.000
# Density: 6.49 g/cm3
# DFT total energy: -4.6876 eV/atom

# 2
# CsTiBi2, optimized geometry, DFT PBE-GGA
data_CsTiBi2
_symmetry_space_group_name_H-M 'F m -3 m'
_symmetry_Int_Tables_number 225
_symmetry_space_group_name_Hall '-F 4 2 3'
_cell_length_a 7.957
_cell_length_b 7.957
_cell_length_c 7.957
_cell_angle_alpha 90.00
_cell_angle_beta 90.00
_cell_angle_gamma 90.00
loop_
_atom_site_label
_atom_site_type_symbol
_atom_site_fract_x
_atom_site_fract_y
_atom_site_fract_z
Cs1 Cs 0.000 0.000 0.000
Ti1 Ti 0.000 0.000 0.500
Bi1 Bi 0.250 0.250 0.250
# Density: 7.89 g/cm3
# DFT total energy: -3.6845 eV/atom

# 3
# CsTi3Bi, optimized geometry, DFT PBE-GGA
data_CsTi3Bi
_symmetry_space_group_name_H-M 'P m -3 m'
_symmetry_Int_Tables_number 221
_symmetry_space_group_name_Hall '-P 4 2 3'
_cell_length_a 5.026
_cell_length_b 5.026
_cell_length_c 5.026
_cell_angle_alpha 90.00
_cell_angle_beta 90.00
_cell_angle_gamma 90.00
loop_
_atom_site_label
_atom_site_type_symbol
_atom_site_fract_x
_atom_site_fract_y
_atom_site_fract_z
Cs1 Cs 0.000 0.000 0.000
Ti1 Ti 0.000 0.000 0.500
Bi1 Bi 0.500 0.500 0.500
# Density: 6.35 g/cm3
# DFT total energy: -3.8834 eV/atom

# 4
# Cs3TiBi, optimized geometry, DFT PBE-GGA
data_Cs3TiBi
_symmetry_space_group_name_H-M 'P m -3 m'
_symmetry_Int_Tables_number 221
_symmetry_space_group_name_Hall '-P 4 2 3'
_cell_length_a 7.504
_cell_length_b 7.504
_cell_length_c 7.504
_cell_angle_alpha 90.00
_cell_angle_beta 90.00
_cell_angle_gamma 90.00
loop_
_atom_site_label
_atom_site_type_symbol
_atom_site_fract_x
_atom_site_fract_y
_atom_site_fract_z
Cs1 Cs 0.000 0.000 0.500
Ti1 Ti 0.500 0.500 0.500
Bi1 Bi 0.000 0.000 0.000
# Density: 2.58 g/cm3
# DFT total energy: -2.1520 eV/atom

# 5
# CsTiBi3, optimized geometry, DFT PBE-GGA
data_CsTiBi3
_symmetry_space_group_name_H-M 'P m -3 m'
_symmetry_Int_Tables_number 221
_symmetry_space_group_name_Hall '-P 4 2 3'
_cell_length_a 5.604
_cell_length_b 5.604
_cell_length_c 5.604
_cell_angle_alpha 90.00
_cell_angle_beta 90.00
_cell_angle_gamma 90.00
loop_
_atom_site_label
_atom_site_type_symbol
_atom_site_fract_x
_atom_site_fract_y
_atom_site_fract_z
Cs1 Cs 0.000 0.000 0.000
Ti1 Ti 0.500 0.500 0.500
Bi1 Bi 0.000 0.500 0.500
# Density: 7.62 g/cm3
# DFT total energy: -4.1652 eV/atom

# 6
# CsTiTl2Bi, optimized geometry, DFT PBE-GGA
data_CsTiTl2Bi
_symmetry_space_group_name_H-M 'P 4/m m m'
_symmetry_Int_Tables_number 123
_symmetry_space_group_name_Hall '-P 4 2'
_cell_length_a 5.654
_cell_length_b 5.654
_cell_length_c 5.494
_cell_angle_alpha 90.00
_cell_angle_beta 90.00
_cell_angle_gamma 90.00
loop_
_atom_site_label
_atom_site_type_symbol
_atom_site_fract_x
_atom_site_fract_y
_atom_site_fract_z
Cs1 Cs 0.000 0.000 0.000
Ti1 Ti 0.500 0.500 0.500
Tl1 Tl 0.000 0.500 0.500
Bi1 Bi 0.500 0.500 0.000
# Density: 7.55 g/cm3
# DFT total energy: -3.5165 eV/atom

no.,energy of formation from the pure elements (eV per atom)
1,0.193
2,0.443
3,1.800
4,0.715
5,-0.087
6,-0.044